Below is an optimized crystal structure of Zn2Pd3Pt2, with properties calculated at the PBE-GGA level. Values from VASP.

```
&SYSTEM
  ibrav = 0, nat = 7, ntyp = 3
/
ATOMIC_SPECIES
Zn 65.41 Zn.upf
Pd 106.42 Pd.upf
Pt 195.08 Pt.upf
CELL_PARAMETERS angstrom
4.453 -1.986 0.000
4.453 1.986 0.000
-0.568 0.000 5.937
ATOMIC_POSITIONS crystal
Zn 0.136 0.136 0.419
Zn 0.864 0.864 0.581
Pd 0.000 0.000 0.000
Pd 0.290 0.290 0.846
Pd 0.710 0.710 0.154
Pt 0.417 0.417 0.298
Pt 0.583 0.583 0.702
```

## Properties
Energy of formation ... -2.4 eV per formula unit
Crystal system ... monoclinic
D(E_F) ... 0.56 states/eV per atom
Electronic total energy ... -4.657 eV per atom